Material: TaNbTeN2
Method: DFT, PBE
State: optimized geometry

Summary:
Energy relative to the elements, uncorrected ... 0.550 eV per atom
Magnetization ... 2.0 μB/f.u.
Energy above the most stable polymorph in this dataset ... 0 meV/atom
Raw total energy ... -7.793 eV/atom
Space-group type ... P4/mmm, No. 123

abc: 4.059 4.059 5.672
angles: 90.00 90.00 90.00
Site moments in Bohr magnetons follow the coordinates.
Fractional positions:
1 Nb 0.500 0.500 0.500  2.08
2 Ta 0.000 0.000 0.000  0.14
3 N 0.000 0.500 0.000  -0.23
4 N 0.500 0.000 0.000  -0.23
5 Te 0.000 0.000 0.500  -0.04